This record from the Alexandria database describes KMo2IrO8 after structural relaxation. The functional is PBE with a Hubbard U.

abc: 9.254 5.869 7.818
angles: 90.00 91.79 90.00
Space group C2/m (No. 12)
Asymmetric unit:
K1 0.000 0.000 0.000 [2 per cell]
Mo1 0.138 0.500 0.293 [4 per cell]
Ir1 0.000 0.000 0.500 [2 per cell]
O1 0.027 0.242 0.319 [8 per cell]
O2 0.196 0.500 0.082 [4 per cell]
O3 0.211 0.000 0.555 [4 per cell]

## Properties
Total DFT energy (no corrections) = -6.775 eV per atom